Below is TmZr4 after structural relaxation, with properties calculated at the PBE-GGA level.

Properties
For the magnetization, the calculation gives 0.00 μB per atom. The space group is No. 221. For the formation energy, the calculation gives 1.24 eV per atom. As for the energy above the most stable polymorph in this dataset: 1187 meV/atom.

abc: 5.1303 5.1303 5.1303
angles: 90.00 90.00 90.00
Positions (direct):
Tm  0.0000  0.0000  0.0000
Zr  0.0000  0.0000  0.5000
Zr  0.0000  0.5000  0.0000
Zr  0.5000  0.0000  0.0000
Zr  0.5000  0.5000  0.5000